Record 1
# Li2ZrIr

A crystal of Li2ZrIr relaxed with PBEsol (meta-GGA SCAN, Alexandria via LeMat-Bulk).

abc: 2.7136 2.7136 9.9377
angles: 90.00 90.00 117.80
With the nearest neighbours (Å) after each atom.
Positions (direct):
Li 0.0000 0.0000 0.2143  2 Ir 2.55, 6 Li 2.71-2.80
Li 0.0000 0.0000 0.7857  2 Ir 2.55, 6 Li 2.71-2.80
Zr 0.5000 0.5000 0.5000  6 Zr 2.71-2.80
Ir 0.5000 0.5000 0.0000  4 Li 2.55, 6 Ir 2.71-2.80

volume	64.73	Å³/cell
total DFT energy (no corrections)	-106.34	eV/cell
formation energy from the elements	59	meV per atom
size of the total moment	0.0000	μB/atom

Record 2
# LiZr2Ir2

A crystal of LiZr2Ir2 relaxed with PBEsol (meta-GGA SCAN, Alexandria via LeMat-Bulk).

abc: 7.6678 7.6678 3.1144
angles: 90.00 90.00 90.00
With the nearest neighbours (Å) after each atom.
Positions (direct):
Li 0.0000 0.0000 0.0000  4 Ir 2.97, 2 Li 3.11, 8 Zr 3.29
Li 0.5000 0.5000 0.0000  4 Ir 2.97, 2 Li 3.11, 8 Zr 3.29
Zr 0.1565 0.3435 0.5000  6 Ir 2.71-2.75
Zr 0.3435 0.8435 0.5000  6 Ir 2.71-2.75
Zr 0.6565 0.1565 0.5000  6 Ir 2.71-2.75
Zr 0.8435 0.6565 0.5000  6 Ir 2.71-2.75
Ir 0.1391 0.6391 0.0000  6 Zr 2.71-2.75, 2 Li 2.97, 1 Ir 3.02
Ir 0.3609 0.1391 0.0000  6 Zr 2.71-2.75, 2 Li 2.97, 1 Ir 3.02
Ir 0.6391 0.8609 0.0000  6 Zr 2.71-2.75, 2 Li 2.97, 1 Ir 3.02
Ir 0.8609 0.3609 0.0000  6 Zr 2.71-2.75, 2 Li 2.97, 1 Ir 3.02

volume	183.11	Å³/cell
total DFT energy (no corrections)	-419.97	eV/cell
formation energy from the elements	-800	meV per atom
size of the total moment	0.0000	μB/atom

Record 3
# Lu2NiIr

A crystal of Lu2NiIr relaxed with PBEsol (meta-GGA SCAN, Alexandria via LeMat-Bulk).

abc: 4.6363 4.6363 4.6363
angles: 60.00 60.00 60.00
With the nearest neighbours (Å) after each atom.
Positions (direct):
Lu 0.2500 0.2500 0.2500  4 Ni 2.84, 4 Ir 2.84
Lu 0.7500 0.7500 0.7500  4 Ni 2.84, 4 Ir 2.84
Ni 0.0000 0.0000 0.0000  8 Lu 2.84
Ir 0.5000 0.5000 0.5000  8 Lu 2.84

volume	70.47	Å³/cell
total DFT energy (no corrections)	-201.61	eV/cell
formation energy from the elements	-913	meV per atom
size of the total moment	0.0001	μB/atom

Record 4
# Lu2IrRu

A crystal of Lu2IrRu relaxed with PBEsol (meta-GGA SCAN, Alexandria via LeMat-Bulk).

abc: 4.6458 4.6458 4.6458
angles: 60.00 60.00 60.00
With the nearest neighbours (Å) after each atom.
Positions (direct):
Lu 0.2500 0.2500 0.2500  4 Ru 2.84, 4 Ir 2.84
Lu 0.7500 0.7500 0.7500  4 Ru 2.84, 4 Ir 2.84
Ir 0.0000 0.0000 0.0000  8 Lu 2.84
Ru 0.5000 0.5000 0.5000  8 Lu 2.84

volume	70.90	Å³/cell
total DFT energy (no corrections)	-220.45	eV/cell
formation energy from the elements	-958	meV per atom
size of the total moment	0.0000	μB/atom

Record 5
# Lu5Sc5Si20Ir8

A crystal of Lu5Sc5Si20Ir8 relaxed with PBEsol (meta-GGA SCAN, Alexandria via LeMat-Bulk).

abc: 4.1123 12.3588 12.3588
angles: 90.00 90.00 90.00
With the nearest neighbours (Å) after each atom.
Positions (direct):
Lu 0.0000 0.0000 0.0000  10 Si 3.12-3.23, 4 Ir 3.16
Lu 0.0000 0.0586 0.7085  8 Si 2.81-3.02, 4 Ir 2.97-2.98
Lu 0.0000 0.2101 0.2101  8 Si 2.80-3.02, 4 Ir 2.97
Lu 0.0000 0.5587 0.5587  8 Si 2.80-3.02, 4 Ir 2.97
Lu 0.0000 0.7085 0.0586  8 Si 2.81-3.02, 4 Ir 2.97-2.98
Sc 0.0000 0.2669 0.5014  10 Si 3.10-3.21, 4 Ir 3.15
Sc 0.0000 0.5014 0.2669  10 Si 3.10-3.21, 4 Ir 3.15
Sc 0.0000 0.7672 0.7672  10 Si 3.11-3.21, 4 Ir 3.16
Sc 0.5000 0.3841 0.8841  8 Si 2.78-2.79, 4 Ir 3.04-3.05
Sc 0.5000 0.8841 0.3841  8 Si 2.78-2.79, 4 Ir 3.04-3.05
Si 0.0000 0.0365 0.3821  2 Ir 2.37
Si 0.0000 0.2326 0.8801  2 Ir 2.37, 1 Si 2.64
Si 0.0000 0.3821 0.0365  2 Ir 2.37
Si 0.0000 0.3858 0.7315  2 Ir 2.37, 1 Si 2.64
Si 0.0000 0.5361 0.8856  2 Ir 2.37
Si 0.0000 0.7315 0.3858  2 Ir 2.37, 1 Si 2.64
Si 0.0000 0.8801 0.2326  2 Ir 2.37, 1 Si 2.64
Si 0.0000 0.8856 0.5361  2 Ir 2.37
Si 0.5000 0.0486 0.1841  2 Ir 2.35-2.45, 1 Si 2.37
Si 0.5000 0.0848 0.5479  2 Ir 2.34-2.45, 1 Si 2.36
Si 0.5000 0.1841 0.0486  2 Ir 2.35-2.45, 1 Si 2.37
Si 0.5000 0.2201 0.6830  2 Ir 2.34-2.45, 1 Si 2.36
Si 0.5000 0.3188 0.3188  1 Si 2.29, 2 Ir 2.40
Si 0.5000 0.4497 0.4497  1 Si 2.29, 2 Ir 2.39
Si 0.5000 0.5479 0.0848  2 Ir 2.34-2.45, 1 Si 2.36
Si 0.5000 0.5847 0.7199  2 Ir 2.34-2.45, 1 Si 2.36
Si 0.5000 0.6830 0.2201  2 Ir 2.34-2.45, 1 Si 2.36
Si 0.5000 0.7199 0.5847  2 Ir 2.34-2.45, 1 Si 2.36
Si 0.5000 0.8175 0.9491  1 Si 2.30, 2 Ir 2.39-2.41
Si 0.5000 0.9491 0.8175  1 Si 2.30, 2 Ir 2.39-2.41
Ir 0.5000 0.1304 0.3644  5 Si 2.34-2.45
Ir 0.5000 0.1385 0.8640  5 Si 2.35-2.45
Ir 0.5000 0.3644 0.1304  5 Si 2.34-2.45
Ir 0.5000 0.4040 0.6379  5 Si 2.34-2.45
Ir 0.5000 0.6294 0.9038  5 Si 2.34-2.45
Ir 0.5000 0.6379 0.4040  5 Si 2.34-2.45
Ir 0.5000 0.8640 0.1385  5 Si 2.35-2.45
Ir 0.5000 0.9038 0.6294  5 Si 2.34-2.45

E_form (uncorrected)	-0.947	eV/atom
volume	628.11	Å³/cell
total DFT energy (no corrections)	-1153.02	eV/cell
size of the total moment	0.0000	μB/atom

Record 6
# Lu5Si10Ir4

A crystal of Lu5Si10Ir4 relaxed with PBEsol (meta-GGA SCAN, Alexandria via LeMat-Bulk).

abc: 12.4212 12.4212 4.1574
angles: 90.00 90.00 90.00
With the nearest neighbours (Å) after each atom.
Positions (direct):
Lu 0.0000 0.0000 0.0000  8 Si 2.84, 4 Ir 3.07
Lu 0.1158 0.3842 0.5000  10 Si 3.13-3.20, 4 Ir 3.17
Lu 0.1742 0.6742 0.5000  8 Si 2.82-3.01, 4 Ir 3.00
Lu 0.3258 0.1742 0.5000  8 Si 2.82-3.01, 4 Ir 3.00
Lu 0.3842 0.8842 0.5000  10 Si 3.13-3.20, 4 Ir 3.17
Lu 0.5000 0.5000 0.0000  8 Si 2.84, 4 Ir 3.07
Lu 0.6158 0.1158 0.5000  10 Si 3.13-3.20, 4 Ir 3.17
Lu 0.6742 0.8258 0.5000  8 Si 2.82-3.01, 4 Ir 3.00
Lu 0.8258 0.3258 0.5000  8 Si 2.82-3.01, 4 Ir 3.00
Lu 0.8842 0.6158 0.5000  10 Si 3.13-3.20, 4 Ir 3.17
Si 0.0025 0.8448 0.5000  2 Ir 2.37
Si 0.0660 0.5660 0.0000  1 Si 2.32, 2 Ir 2.41
Si 0.1552 0.0025 0.5000  2 Ir 2.37
Si 0.1651 0.1999 0.0000  2 Ir 2.36-2.46, 1 Si 2.37
Si 0.1999 0.8349 0.0000  2 Ir 2.36-2.46, 1 Si 2.37
Si 0.3001 0.3349 0.0000  2 Ir 2.36-2.46, 1 Si 2.37
Si 0.3349 0.6999 0.0000  2 Ir 2.36-2.46, 1 Si 2.37
Si 0.3448 0.5025 0.5000  2 Ir 2.37
Si 0.4340 0.0660 0.0000  1 Si 2.32, 2 Ir 2.41
Si 0.4975 0.3448 0.5000  2 Ir 2.37
Si 0.5025 0.6552 0.5000  2 Ir 2.37
Si 0.5660 0.9340 0.0000  1 Si 2.32, 2 Ir 2.41
Si 0.6552 0.4975 0.5000  2 Ir 2.37
Si 0.6651 0.3001 0.0000  2 Ir 2.36-2.46, 1 Si 2.37
Si 0.6999 0.6651 0.0000  2 Ir 2.36-2.46, 1 Si 2.37
Si 0.8001 0.1651 0.0000  2 Ir 2.36-2.46, 1 Si 2.37
Si 0.8349 0.8001 0.0000  2 Ir 2.36-2.46, 1 Si 2.37
Si 0.8448 0.9975 0.5000  2 Ir 2.37
Si 0.9340 0.4340 0.0000  1 Si 2.32, 2 Ir 2.41
Si 0.9975 0.1552 0.5000  2 Ir 2.37
Ir 0.0192 0.7539 0.0000  5 Si 2.36-2.46
Ir 0.2461 0.0192 0.0000  5 Si 2.36-2.46
Ir 0.2539 0.5192 0.0000  5 Si 2.36-2.46
Ir 0.4808 0.2539 0.0000  5 Si 2.36-2.46
Ir 0.5192 0.7461 0.0000  5 Si 2.36-2.46
Ir 0.7461 0.4808 0.0000  5 Si 2.36-2.46
Ir 0.7539 0.9808 0.0000  5 Si 2.36-2.46
Ir 0.9808 0.2461 0.0000  5 Si 2.36-2.46

E_form (uncorrected)	-0.977	eV/atom
volume	641.44	Å³/cell
total DFT energy (no corrections)	-1359.67	eV/cell
size of the total moment	0.0000	μB/atom

Record 7
# Lu2Si5Ir3

A crystal of Lu2Si5Ir3 relaxed with PBEsol (meta-GGA SCAN, Alexandria via LeMat-Bulk).

abc: 8.0268 8.0268 8.0268
angles: 103.47 91.11 138.38
With the nearest neighbours (Å) after each atom.
Positions (direct):
Lu 0.1316 0.2277 0.3593  10 Si 2.90-3.24, 4 Ir 3.00-3.25
Lu 0.3684 0.7277 0.0961  10 Si 2.90-3.24, 4 Ir 3.00-3.25
Lu 0.6316 0.2723 0.9039  10 Si 2.90-3.24, 4 Ir 3.00-3.25
Lu 0.8684 0.7723 0.6407  10 Si 2.90-3.24, 4 Ir 3.00-3.25
Si 0.0248 0.7500 0.2748  3 Ir 2.38-2.53, 2 Si 2.50
Si 0.1053 0.6565 0.7618  3 Ir 2.29-2.42, 2 Si 2.50
Si 0.2500 0.2500 0.0000  4 Ir 2.42
Si 0.3947 0.1565 0.5511  3 Ir 2.29-2.42, 2 Si 2.50
Si 0.4752 0.7500 0.7252  3 Ir 2.38-2.53, 2 Si 2.50
Si 0.5248 0.2500 0.2748  3 Ir 2.38-2.53, 2 Si 2.50
Si 0.6053 0.8435 0.4489  3 Ir 2.29-2.42, 2 Si 2.50
Si 0.7500 0.7500 0.0000  4 Ir 2.42
Si 0.8947 0.3435 0.2382  3 Ir 2.29-2.42, 2 Si 2.50
Si 0.9752 0.2500 0.7252  3 Ir 2.38-2.53, 2 Si 2.50
Ir 0.1401 0.8838 0.0240  5 Si 2.29-2.42
Ir 0.2500 0.7500 0.5000  6 Si 2.42-2.53
Ir 0.3599 0.3838 0.7437  5 Si 2.29-2.42
Ir 0.6401 0.6162 0.2563  5 Si 2.29-2.42
Ir 0.7500 0.2500 0.5000  6 Si 2.42-2.53
Ir 0.8599 0.1162 0.9760  5 Si 2.29-2.42

E_form (uncorrected)	-1.061	eV/atom
volume	318.67	Å³/cell
total DFT energy (no corrections)	-769.36	eV/cell
size of the total moment	0.0000	μB/atom

Record 8
# YLuIr2

A crystal of YLuIr2 relaxed with PBEsol (meta-GGA SCAN, Alexandria via LeMat-Bulk).

abc: 4.7273 4.7273 4.7273
angles: 60.00 60.00 60.00
With the nearest neighbours (Å) after each atom.
Positions (direct):
Y 0.0000 0.0000 0.0000  8 Ir 2.89
Lu 0.5000 0.5000 0.5000  8 Ir 2.89
Ir 0.2500 0.2500 0.2500  4 Lu 2.89, 4 Y 2.89
Ir 0.7500 0.7500 0.7500  4 Y 2.89, 4 Lu 2.89

volume	74.70	Å³/cell
total DFT energy (no corrections)	-229.67	eV/cell
formation energy from the elements	-1070	meV per atom
size of the total moment	0.0000	μB/atom

Record 9
# MgIr

A crystal of MgIr relaxed with PBEsol (meta-GGA SCAN, Alexandria via LeMat-Bulk).

abc: 5.1782 5.1782 4.7001
angles: 112.14 112.14 31.72
With the nearest neighbours (Å) after each atom.
Positions (direct):
Mg 0.1089 0.1089 0.2991  7 Ir 2.69-2.83, 3 Mg 2.80-2.83
Mg 0.8911 0.8911 0.7009  7 Ir 2.69-2.83, 3 Mg 2.80-2.83
Ir 0.3583 0.3583 0.1915  4 Ir 2.62-2.83, 7 Mg 2.69-2.83
Ir 0.6417 0.6417 0.8085  4 Ir 2.62-2.83, 7 Mg 2.69-2.83

volume	60.97	Å³/cell
total DFT energy (no corrections)	-154.06	eV/cell
formation energy from the elements	-478	meV per atom
size of the total moment	0.0000	μB/atom

Record 10
# Mg3Ir

A crystal of Mg3Ir relaxed with PBEsol (meta-GGA SCAN, Alexandria via LeMat-Bulk).

abc: 5.8553 5.8553 4.5977
angles: 90.00 90.00 120.00
With the nearest neighbours (Å) after each atom.
Positions (direct):
Mg 0.1752 0.3504 0.2500  8 Mg 2.78-3.08, 4 Ir 2.80-2.93
Mg 0.1752 0.8248 0.2500  8 Mg 2.78-3.08, 4 Ir 2.80-2.93
Mg 0.3504 0.1752 0.7500  8 Mg 2.78-3.08, 4 Ir 2.80-2.93
Mg 0.6496 0.8248 0.2500  8 Mg 2.78-3.08, 4 Ir 2.80-2.93
Mg 0.8248 0.1752 0.7500  8 Mg 2.78-3.08, 4 Ir 2.80-2.93
Mg 0.8248 0.6496 0.7500  8 Mg 2.78-3.08, 4 Ir 2.80-2.93
Ir 0.3333 0.6667 0.7500  12 Mg 2.80-2.93
Ir 0.6667 0.3333 0.2500  12 Mg 2.80-2.93

volume	136.51	Å³/cell
total DFT energy (no corrections)	-174.84	eV/cell
formation energy from the elements	-350	meV per atom
size of the total moment	0.0000	μB/atom

- Among the records above, which one has the highest volume?
  Lu5Si10Ir4

- Which value of volume does entry 2 give?
  183.11 Å³/cell

- Which of these has the highest total DFT energy (no corrections)?
  Li2ZrIr